{"formula": "Rb3Tb3DyTe8", "functional": "PBE", "state": "relaxed", "magnetic_moment_mub_per_fu": 0.000, "space_group": "R-3m (166)", "e_form_raw_ev_per_fu": -19.8, "lattice_angstrom": [[-4.070, -7.048, 3.471], [8.431, -0.607, -2.626], [-1.577, 5.178, 8.666]], "species": ["Te", "Dy", "Rb", "Tb", "Te", "Te", "Tb", "Te", "Rb", "Rb", "Te", "Te", "Te", "Te", "Tb"], "fractional_positions": [[0.234, 0.467, 0.699], [0.000, 0.000, 0.500], [0.000, 0.000, 0.000], [0.500, 0.500, 0.500], [0.266, 0.533, 0.299], [0.766, 0.533, 0.301], [0.000, 0.500, 0.500], [0.766, 0.034, 0.301], [0.500, 0.500, 0.000], [0.000, 0.500, 0.000], [0.234, 0.966, 0.699], [0.268, 0.034, 0.301], [0.734, 0.467, 0.701], [0.732, 0.966, 0.699], [0.500, 0.000, 0.500]]}

***

{"formula": "Cd3GeCl", "functional": "PBE", "state": "relaxed", "magnetic_moment_mub_per_fu": 0.000, "space_group": "Pm-3m (221)", "polymorph_energy_ev_per_atom": 0.613, "e_form_raw_ev_per_fu": 2.7, "lattice_angstrom": [[-1.425, -4.679, -2.116], [5.075, -0.949, -1.320], [0.782, -2.368, 4.709]], "species": ["Ge", "Cd", "Cl", "Cd", "Cd"], "fractional_positions": [[0.500, 0.500, 0.500], [0.000, 0.000, 0.500], [0.000, 0.000, 0.000], [0.500, 0.000, 0.000], [0.000, 0.500, 0.000]]}

***

{"formula": "Ti3AlOs", "functional": "PBE", "state": "relaxed", "magnetic_moment_mub_per_fu": 0.000, "space_group": "Pm-3m (221)", "polymorph_energy_ev_per_atom": 0.714, "ef_ev_per_atom": 1.1554, "lattice_angstrom": [[4.535, 0.000, 0.000], [0.000, 4.535, 0.000], [0.000, 0.000, 4.535]], "species": ["Ti", "Al", "Os", "Ti", "Ti"], "fractional_positions": [[0.000, 0.000, 0.500], [0.000, 0.000, 0.000], [0.500, 0.500, 0.500], [0.500, 0.000, 0.000], [0.000, 0.500, 0.000]]}

***

{"formula": "Pm2TeO", "functional": "PBE", "state": "relaxed", "magnetic_moment_mub_per_fu": 0.000, "space_group": "R-3m (166)", "polymorph_energy_ev_per_atom": 0.178, "e_form_raw_ev_per_fu": -6.8, "lattice_angstrom": [[4.382, 0.000, 0.000], [2.191, 3.795, 0.000], [2.191, 1.265, 7.983]], "species": ["Pm", "Te", "O", "Pm"], "fractional_positions": [[0.087, 0.087, 0.738], [0.500, 0.500, 0.500], [0.000, 0.000, 0.000], [0.913, 0.913, 0.262]]}